Compound: Ac6Ru2Br3F
Source: Alexandria via LeMat-Bulk
Functional: PBE-GGA
Structure: relaxed

a = 7.3839 Å, b = 12.8342 Å, c = 8.7207 Å
α = 90.00°, β = 106.50°, γ = 90.00°
Space group C2/m (No. 12)
Inequivalent atoms, fractional coordinates:
1 Ac 0.2215 0.0000 0.1932 x4
2 Ac 0.2369 0.3282 0.1945 x8
3 Ru 0.0000 0.1660 0.0000 x4
4 Br 0.0000 0.0000 0.5000 x2
5 Br 0.0000 0.3250 0.5000 x4
6 F 0.0000 0.5000 0.0000 x2

Formation energy (no corrections) in eV/f.u.: -14.61
Total DFT energy (no corrections) in eV per atom: -5.392
Total moment in μB per cell: 0.0
DOS at the Fermi energy in states/eV/cell: 4.20